1.
{
  "formula": "YTlTe2O8",
  "functional": "PBE",
  "state": "relaxed",
  "sg": "P-3 (147)",
  "raw_formation_energy_ev_per_atom": -1.40,
  "crystal_system": "trigonal",
  "lattice_angstrom": [[-4.345, 2.973, -2.704], [-1.278, -4.695, 3.368], [-0.715, 4.822, 6.451]],
  "species": ["O", "Y", "O", "Te", "O", "O", "Tl", "O", "O", "Te", "O", "O"],
  "fractional_positions": [[0.230, 0.893, 0.673], [0.000, 0.000, 0.500], [0.107, 0.337, 0.673], [0.667, 0.333, 0.246], [0.770, 0.107, 0.327], [0.337, 0.230, 0.327], [0.000, 0.000, 0.000], [0.663, 0.770, 0.673], [0.893, 0.663, 0.327], [0.333, 0.667, 0.754], [0.333, 0.667, 0.979], [0.667, 0.333, 0.021]]
}



2.
{
  "formula": "YTlTeO6",
  "functional": "PBE",
  "state": "relaxed",
  "sg": "P4_2nm (102)",
  "raw_formation_energy_ev_per_atom": -1.63,
  "crystal_system": "tetragonal",
  "lattice_angstrom": [[5.022, 0.000, 0.000], [0.000, 5.022, 0.000], [0.000, 0.000, 10.061]],
  "species": ["O", "Tl", "O", "O", "Te", "Y", "O", "O", "O", "O", "Y", "O", "O", "O", "O", "Tl", "O", "Te"],
  "fractional_positions": [[0.816, 0.184, 0.188], [0.500, 0.500, 0.499], [0.276, 0.276, 0.330], [0.776, 0.224, 0.830], [0.500, 0.500, 0.833], [0.000, 0.000, 0.670], [0.819, 0.181, 0.481], [0.319, 0.319, 0.981], [0.181, 0.819, 0.481], [0.316, 0.316, 0.688], [0.500, 0.500, 0.170], [0.684, 0.684, 0.688], [0.184, 0.816, 0.188], [0.224, 0.776, 0.830], [0.724, 0.724, 0.330], [0.000, 0.000, 0.999], [0.681, 0.681, 0.981], [0.000, 0.000, 0.333]]
}



3.
{
  "formula": "YTl2Te2O6",
  "functional": "PBE",
  "state": "relaxed",
  "sg": "C2/m (12)",
  "raw_formation_energy_ev_per_atom": -1.35,
  "crystal_system": "monoclinic",
  "lattice_angstrom": [[7.024, 0.000, 0.000], [-3.512, 4.962, 0.187], [0.000, -2.627, 6.033]],
  "species": ["O", "O", "O", "Te", "O", "Tl", "Tl", "O", "Te", "Y", "O"],
  "fractional_positions": [[0.253, 0.505, 0.303], [0.748, 0.070, 0.265], [0.322, 0.070, 0.265], [0.053, 0.106, 0.252], [0.678, 0.930, 0.735], [0.315, 0.630, 0.887], [0.685, 0.370, 0.113], [0.747, 0.495, 0.697], [0.947, 0.894, 0.748], [0.500, 0.000, 0.500], [0.252, 0.930, 0.735]]
}



4.
{
  "formula": "Y2TlTeO8",
  "functional": "PBE",
  "state": "relaxed",
  "sg": "Cmmm (65)",
  "raw_formation_energy_ev_per_atom": -1.90,
  "crystal_system": "orthorhombic",
  "lattice_angstrom": [[4.970, -0.113, -0.003], [-0.098, 4.974, -0.005], [0.004, 0.008, 7.093]],
  "species": ["O", "Y", "O", "Tl", "Te", "O", "Y", "O", "O", "O", "O", "O"],
  "fractional_positions": [[0.185, 0.814, 0.201], [0.500, 0.500, 0.249], [0.815, 0.186, 0.201], [0.000, 0.000, 0.500], [0.000, 0.000, 0.000], [0.815, 0.186, 0.799], [0.500, 0.500, 0.751], [0.185, 0.814, 0.799], [0.717, 0.719, 0.000], [0.283, 0.281, 0.000], [0.302, 0.302, 0.500], [0.698, 0.698, 0.500]]
}



5.
{
  "formula": "Y2Tl2TeO6",
  "functional": "PBE",
  "state": "relaxed",
  "sg": "C2/m (12)",
  "raw_formation_energy_ev_per_atom": -1.95,
  "crystal_system": "monoclinic",
  "lattice_angstrom": [[5.993, -0.009, 0.069], [-2.970, 5.205, 0.069], [-1.064, -1.829, 6.531]],
  "species": ["O", "Y", "O", "Tl", "O", "Te", "O", "O", "Tl", "O", "Y"],
  "fractional_positions": [[0.379, 0.052, 0.667], [0.334, 0.666, 0.500], [0.265, 0.265, 0.332], [0.833, 0.167, 0.000], [0.735, 0.735, 0.668], [0.000, 0.000, 0.500], [0.052, 0.379, 0.667], [0.948, 0.621, 0.333], [0.167, 0.833, 0.000], [0.621, 0.948, 0.333], [0.666, 0.334, 0.500]]
}



6.
{
  "formula": "YTl2TeO8",
  "functional": "PBE",
  "state": "relaxed",
  "sg": "P2/m (10)",
  "raw_formation_energy_ev_per_atom": -1.23,
  "crystal_system": "monoclinic",
  "lattice_angstrom": [[-4.265, 2.142, -1.696], [-2.585, -2.657, 3.456], [0.772, 5.097, 4.496]],
  "species": ["Tl", "O", "O", "O", "Te", "O", "O", "Tl", "Y", "O", "O", "O"],
  "fractional_positions": [[0.500, 0.500, 0.247], [0.718, 0.720, 0.000], [0.823, 0.178, 0.786], [0.309, 0.307, 0.500], [0.000, 0.000, 0.000], [0.823, 0.178, 0.214], [0.282, 0.280, 0.000], [0.500, 0.500, 0.753], [0.000, 0.000, 0.500], [0.177, 0.822, 0.786], [0.177, 0.822, 0.214], [0.691, 0.693, 0.500]]
}



7.
{
  "formula": "YTl2TeO6",
  "functional": "PBE",
  "state": "relaxed",
  "sg": "Pmmn (59)",
  "raw_formation_energy_ev_per_atom": -1.49,
  "crystal_system": "orthorhombic",
  "lattice_angstrom": [[-2.892, 0.786, -5.136], [1.168, -5.628, -1.519], [-7.163, -2.473, 3.654]],
  "species": ["O", "O", "O", "O", "Tl", "O", "Y", "Te", "O", "Tl", "O", "O", "Te", "Tl", "O", "O", "O", "Tl", "Y", "O"],
  "fractional_positions": [[0.232, 0.518, 0.000], [0.732, 0.482, 0.500], [0.268, 0.018, 0.500], [0.000, 0.750, 0.232], [0.500, 0.751, 0.750], [0.000, 0.750, 0.768], [0.000, 0.750, 0.500], [0.000, 0.750, 0.000], [0.232, 0.982, 0.000], [0.000, 0.249, 0.250], [0.768, 0.518, 0.000], [0.268, 0.482, 0.500], [0.500, 0.250, 0.500], [0.000, 0.249, 0.750], [0.732, 0.018, 0.500], [0.500, 0.250, 0.268], [0.768, 0.982, 0.000], [0.500, 0.751, 0.250], [0.500, 0.250, 0.000], [0.500, 0.250, 0.732]]
}



8.
{
  "formula": "TlZnTeO4",
  "functional": "PBE",
  "state": "relaxed",
  "sg": "F-43m (216)",
  "raw_formation_energy_ev_per_atom": -0.83,
  "crystal_system": "cubic",
  "lattice_angstrom": [[-2.684, -2.900, 4.876], [-3.190, -5.332, -0.888], [2.334, -5.438, 2.089]],
  "species": ["O", "Zn", "O", "Te", "Tl", "O", "O"],
  "fractional_positions": [[0.374, 0.374, 0.374], [0.500, 0.500, 0.500], [0.374, 0.374, 0.878], [0.250, 0.250, 0.250], [0.750, 0.750, 0.750], [0.878, 0.374, 0.374], [0.374, 0.878, 0.374]]
}